#one
First-principles (PBE with a Hubbard U) data for Mn2IrF2 after structural relaxation, as listed in the Alexandria database.

Unit cell a=7.609 b=7.609 c=2.783 alpha=90.00 beta=90.00 gamma=90.00
Each line ends with the local moment (μB).
Fractional positions:
Mn 0.744 0.244 0.000  4.58
Mn 0.256 0.756 0.000  4.58
Mn 0.244 0.256 0.000  4.59
Mn 0.756 0.744 0.000  4.59
F 0.617 0.883 0.500  0.09
F 0.383 0.117 0.500  0.09
F 0.117 0.617 0.500  0.09
F 0.883 0.383 0.500  0.09
Ir 0.500 0.500 0.000  -0.09
Ir 0.000 0.000 0.000  -0.09

Computed properties:
As for the total magnetization: 19.7 μB per cell. As for the space group: No. 127.


#two
First-principles (PBE with a Hubbard U) data for Mn2IrF2 after structural relaxation, as listed in the Alexandria database.

Unit cell a=3.323 b=3.323 c=6.521 alpha=75.24 beta=75.24 gamma=90.00
Each line ends with the local moment (μB).
Fractional positions:
Mn 0.633 0.633 0.734  4.50
Mn 0.367 0.367 0.266  4.50
F 0.250 0.750 0.500  0.06
F 0.750 0.250 0.500  0.06
Ir 0.000 0.000 0.000  -0.38

Computed properties:
As for the total magnetization: 9.1 μB per cell. As for the space group: No. 139.


It is #one that is the least stable of them.


#one
First-principles (PBE with a Hubbard U) data for Mo2Ir2F after structural relaxation, as listed in the Alexandria database.

Unit cell a=7.722 b=7.722 c=2.754 alpha=90.00 beta=90.00 gamma=90.00
Each line ends with the local moment (μB).
Fractional positions:
Mo 0.837 0.337 0.500  0.51
Mo 0.337 0.163 0.500  0.53
Mo 0.663 0.837 0.500  0.53
Mo 0.163 0.663 0.500  0.51
Ir 0.130 0.370 0.000  -0.10
Ir 0.870 0.630 0.000  -0.10
Ir 0.630 0.130 0.000  -0.10
Ir 0.370 0.870 0.000  -0.10
F 0.000 0.000 0.000  0.06
F 0.500 0.500 0.000  0.06

Computed properties:
As for the total magnetization: 1.9 μB per cell. As for the space group: No. 127.


#two
First-principles (PBE with a Hubbard U) data for Mo2Ir2F after structural relaxation, as listed in the Alexandria database.

Unit cell a=4.503 b=4.503 c=5.801 alpha=67.16 beta=67.16 gamma=90.00
Each line ends with the local moment (μB).
Fractional positions:
F 0.000 0.000 0.000  0.13
Ir 0.374 0.374 0.253  -0.36
Ir 0.626 0.626 0.747  -0.36
Mo 0.250 0.750 0.500  1.92
Mo 0.750 0.250 0.500  1.92

Computed properties:
As for the total magnetization: 3.6 μB per cell. As for the space group: No. 139.


It is #two that is the least stable of them.


#one
First-principles (PBE with a Hubbard U) data for MoIr3F after structural relaxation, as listed in the Alexandria database.

Unit cell a=4.289 b=4.289 c=4.289 alpha=90.00 beta=90.00 gamma=90.00
Each line ends with the local moment (μB).
Fractional positions:
Ir 0.000 0.000 0.500  -0.60
Ir 0.500 0.000 0.000  -0.73
Ir 0.000 0.500 0.000  -0.79
Mo 0.500 0.500 0.500  2.94
F 0.000 0.000 0.000  -0.06

Computed properties:
As for the total magnetization: 1.1 μB per cell. As for the space group: No. 221.


#two
First-principles (PBE with a Hubbard U) data for MoIr3F after structural relaxation, as listed in the Alexandria database.

Unit cell a=4.752 b=4.752 c=4.752 alpha=90.00 beta=90.00 gamma=90.00
Each line ends with the local moment (μB).
Fractional positions:
Mo 0.000 0.000 0.000  -0.16
Ir 0.000 0.000 0.500  0.61
Ir 0.500 0.000 0.000  0.33
Ir 0.000 0.500 0.000  0.47
F 0.500 0.500 0.500  0.14

Computed properties:
As for the total magnetization: 1.5 μB per cell. As for the space group: No. 221.


It is #two that is the least stable of them.


#one
First-principles (PBE with a Hubbard U) data for Mo2IrF after structural relaxation, as listed in the Alexandria database.

Unit cell a=6.461 b=6.461 c=5.501 alpha=54.04 beta=54.04 gamma=90.00
Each line ends with the local moment (μB).
Fractional positions:
Ir 0.750 0.250 0.500  -0.19
Ir 0.000 0.000 0.000  -0.19
Mo 0.875 0.838 0.750  1.55
Mo 0.375 0.412 0.750  1.66
Mo 0.162 0.625 0.250  1.61
Mo 0.588 0.125 0.250  1.61
F 0.500 0.500 0.000  0.03
F 0.250 0.750 0.500  0.03

Computed properties:
As for the total magnetization: 6.3 μB per cell. As for the space group: No. 122.


#two
First-principles (PBE with a Hubbard U) data for Mo2IrF after structural relaxation, as listed in the Alexandria database.

Unit cell a=4.349 b=4.349 c=4.349 alpha=60.00 beta=60.00 gamma=60.00
Fractional positions:
Mo 0.750 0.750 0.750
Mo 0.250 0.250 0.250
Ir 0.500 0.500 0.500
F 0.000 0.000 0.000

Computed properties:
As for the total magnetization: 0.0 μB per cell. As for the space group: No. 225.


It is #two that is the least stable of them.


#one
First-principles (PBE with a Hubbard U) data for MoIrNF2 after structural relaxation, as listed in the Alexandria database.

Unit cell a=4.132 b=4.132 c=4.168 alpha=90.00 beta=90.00 gamma=90.00
Each line ends with the local moment (μB).
Fractional positions:
Ir 0.500 0.500 0.500  1.75
Mo 0.000 0.000 0.000  2.31
F 0.000 0.500 0.000  0.07
F 0.500 0.000 0.000  0.07
N 0.000 0.000 0.500  -0.32

Computed properties:
As for the total magnetization: 4.0 μB per cell. As for the space group: No. 123.


#two
First-principles (PBE with a Hubbard U) data for MoIrNF2 after structural relaxation, as listed in the Alexandria database.

Unit cell a=4.500 b=4.500 c=3.707 alpha=90.00 beta=90.00 gamma=90.00
Each line ends with the local moment (μB).
Fractional positions:
N 0.000 0.000 0.500  -0.06
F 0.500 0.000 0.000  0.03
F 0.000 0.500 0.000  0.03
Mo 0.500 0.500 0.500  4.16
Ir 0.000 0.000 0.000  -0.03

Computed properties:
As for the total magnetization: 4.7 μB per cell. As for the space group: No. 123.


It is #one that is the least stable of them.


#one
First-principles (PBE with a Hubbard U) data for MoIrOF2 after structural relaxation, as listed in the Alexandria database.

Unit cell a=4.534 b=4.534 c=3.731 alpha=90.00 beta=90.00 gamma=90.00
Each line ends with the local moment (μB).
Fractional positions:
F 0.500 0.000 0.000  0.03
F 0.000 0.500 0.000  0.03
Mo 0.500 0.500 0.500  4.24
O 0.000 0.000 0.500  -0.01
Ir 0.000 0.000 0.000  -0.15

Computed properties:
As for the total magnetization: 4.7 μB per cell. As for the space group: No. 123.


#two
First-principles (PBE with a Hubbard U) data for MoIrOF2 after structural relaxation, as listed in the Alexandria database.

Unit cell a=4.247 b=4.247 c=3.873 alpha=90.00 beta=90.00 gamma=90.00
Each line ends with the local moment (μB).
Fractional positions:
F 0.500 0.000 0.000  0.03
F 0.000 0.500 0.000  0.03
Mo 0.000 0.000 0.000  0.57
O 0.000 0.000 0.500  -0.01
Ir 0.500 0.500 0.500  0.06

Computed properties:
As for the total magnetization: 0.7 μB per cell. As for the space group: No. 123.


It is #two that is the least stable of them.